Compound: Ba4La4Cu4B3O18
Source: Alexandria
Functional: PBEsol
Structure: relaxed

## Properties
uncorrected formation energy: -2.43 eV/atom
ρ: 6.00 Mg/m³
E_tot: -7.3683 eV/atom

a b c (Å): 7.5709 7.6885 7.9904
angles (deg): 90.00 90.00 90.00
Closest atoms and distances in Å follow each position.
Fractional positions:
O (0.4545, 0.0000, 0.0000)  1 B 1.38
O (0.7897, 0.7493, 0.0000)  2 Cu 1.92-1.94
O (0.4535, 0.0000, 0.5000)  1 B 1.39
O (0.1821, 0.0000, 0.3474)  1 B 1.39
O (0.7910, 0.5000, 0.7541)  2 Cu 1.97-2.04
O (0.1814, 0.8427, 0.0000)  1 B 1.39
O (0.8374, 0.7519, 0.5000)  2 Cu 1.93-2.01
O (0.4495, 0.5000, 0.0000)  1 B 1.39
O (0.1821, 0.0000, 0.6526)  1 B 1.39
O (0.1814, 0.1573, 0.0000)  1 B 1.39
O (0.7910, 0.5000, 0.2459)  2 Cu 1.97-2.04
O (0.4838, 0.5000, 0.5000)  1 Cu 2.13
O (0.7897, 0.2507, 0.0000)  2 Cu 1.92-1.94
O (0.1789, 0.5000, 0.8454)  1 B 1.40
O (0.7863, 0.0000, 0.7522)  2 Cu 1.99-2.02
O (0.8374, 0.2481, 0.5000)  2 Cu 1.93-2.01
O (0.1789, 0.5000, 0.1546)  1 B 1.40
O (0.7863, 0.0000, 0.2478)  2 Cu 1.99-2.02
La (0.9889, 0.2479, 0.7643)  7 O 2.40-2.56
La (0.9889, 0.2479, 0.2357)  7 O 2.40-2.56
La (0.9889, 0.7521, 0.7643)  7 O 2.40-2.56
La (0.9889, 0.7521, 0.2357)  7 O 2.40-2.56
B (0.2704, 0.0000, 0.5000)  3 O 1.39
B (0.2664, 0.5000, 0.0000)  3 O 1.39-1.40
B (0.2722, 0.0000, 0.0000)  3 O 1.38-1.39
Ba (0.5085, 0.2580, 0.2548)  7 O 2.71-2.95
Ba (0.5085, 0.7420, 0.2548)  7 O 2.71-2.95
Ba (0.5085, 0.2580, 0.7452)  7 O 2.71-2.95
Ba (0.5085, 0.7420, 0.7452)  7 O 2.71-2.95
Cu (0.7720, 0.5000, 0.0000)  4 O 1.92-1.97
Cu (0.7648, 0.5000, 0.5000)  5 O 2.01-2.13
Cu (0.7965, 0.0000, 0.5000)  4 O 1.93-2.02
Cu (0.7595, 0.0000, 0.0000)  4 O 1.94-1.99